[1]
Material: LiY2Hg
Method: DFT, PBEsol
State: relaxed

It has space group Imm2 (No. 44), with a = 3.621 Å, b = 5.072 Å, c = 10.514 Å, α = 90.00°, β = 90.00° and γ = 90.00°. Symmetry generates all atoms from Li at (0.000, 0.000, 0.000), Y at (0.000, 0.000, 0.442), Y at (0.000, 0.500, 0.221) and Hg at (0.000, 0.500, 0.690).

For the formation energy, the calculation gives -0.2252 eV per atom. The theoretical density is 6.63 Mg/m³. The value obtained for the spin magnetization is 0.006 μB/f.u.


[2]
Material: Li2YHg
Method: DFT, PBEsol
State: relaxed

It has space group Pmmm (No. 47), with a = 3.535 Å, b = 4.907 Å, c = 5.165 Å, α = 90.00°, β = 90.00° and γ = 90.00°. Symmetry generates all atoms from Li at (0.000, 0.000, 0.000), Li at (0.500, 0.500, 0.000), Y at (0.000, 0.500, 0.500) and Hg at (0.500, 0.000, 0.500).

For the formation energy, the calculation gives -0.1762 eV per atom. The theoretical density is 5.62 Mg/m³. The value obtained for the spin magnetization is 0.000 μB/f.u. As for the energy above the most stable polymorph in this dataset: 0.084 eV/atom.


[3]
Material: LiY2Hg
Method: DFT, PBEsol
State: relaxed

It has space group P4/mmm (No. 123), with a = 5.095 Å, b = 5.095 Å, c = 3.727 Å, α = 90.00°, β = 90.00° and γ = 90.00°. Symmetry generates all atoms from Li at (0.000, 0.000, 0.000), Y at (0.000, 0.500, 0.500) and Hg at (0.500, 0.500, 0.000).

For the formation energy, the calculation gives -0.3074 eV per atom. The theoretical density is 6.61 Mg/m³. The value obtained for the spin magnetization is 0.000 μB/f.u.


[4]
Material: LiYHg2
Method: DFT, PBEsol
State: relaxed

It has space group Pmm2 (No. 25), with a = 3.464 Å, b = 5.053 Å, c = 5.076 Å, α = 90.00°, β = 90.00° and γ = 90.00°. Symmetry generates all atoms from Li at (0.000, 0.000, 0.000), Y at (0.000, 0.500, 0.478), Hg at (0.500, 0.000, 0.519) and Hg at (0.500, 0.500, 0.978).

For the formation energy, the calculation gives -0.4752 eV per atom. The theoretical density is 9.29 Mg/m³. The value obtained for the spin magnetization is 0.000 μB/f.u. As for the energy above the most stable polymorph in this dataset: 0.064 eV/atom.


[5]
Material: LiY2Hg2
Method: DFT, PBEsol
State: relaxed

It has space group P4/mbm (No. 127), with a = 8.015 Å, b = 8.015 Å, c = 3.886 Å, α = 90.00°, β = 90.00° and γ = 90.00°. Symmetry generates all atoms from Li at (0.000, 0.000, 0.000), Y at (0.160, 0.340, 0.500) and Hg at (0.139, 0.639, 0.000).

For the formation energy, the calculation gives -0.4552 eV per atom. The theoretical density is 7.80 Mg/m³. The value obtained for the spin magnetization is 0.000 μB/f.u.


[6]
Material: Li2YHg2
Method: DFT, PBEsol
State: relaxed

It has space group I4/mmm (No. 139), with a = 3.915 Å, b = 3.915 Å, c = 13.644 Å, α = 90.00°, β = 90.00° and γ = 90.00°. Symmetry generates all atoms from Li at (0.000, 0.500, 0.250), Y at (0.000, 0.000, 0.000) and Hg at (0.000, 0.000, 0.390).

For the formation energy, the calculation gives -0.4081 eV per atom. The theoretical density is 8.00 Mg/m³. The value obtained for the spin magnetization is 0.000 μB/f.u. As for the energy above the most stable polymorph in this dataset: 0.000 eV/atom.